{
  "formula": "Y2CuGePt6",
  "functional": "PBE",
  "state": "relaxed",
  "magnetic_moment_mub_per_cell": 0.00,
  "formation_energy_ev_per_atom": -0.735,
  "cell": [[4.800, -2.775, 0.000], [4.800, 2.775, 0.000], [-3.187, 0.000, 7.688]],
  "species": ["Y", "Y", "Cu", "Ge", "Pt", "Pt", "Pt", "Pt", "Pt", "Pt"],
  "frac_coords": [[0.200, 0.200, 0.101], [0.800, 0.800, 0.899], [0.500, 0.500, 0.000], [0.000, 0.000, 0.500], [0.251, 0.251, 0.745], [0.251, 0.744, 0.745], [0.256, 0.749, 0.255], [0.744, 0.251, 0.745], [0.749, 0.256, 0.255], [0.749, 0.749, 0.255]]
}

{
  "formula": "HoUTc",
  "functional": "PBE",
  "state": "relaxed",
  "magnetic_moment_mub_per_cell": 0.39,
  "formation_energy_ev_per_atom": 0.002,
  "cell": [[-1.718, 1.718, 5.510], [1.718, -1.718, 5.510], [1.718, 1.718, -5.510]],
  "species": ["Ho", "U", "Tc"],
  "frac_coords": [[0.000, 0.000, 0.000], [0.699, 0.699, 0.000], [0.304, 0.304, 0.000]]
}

> Which formula does entry 2 have?

HoUTc